Entry 1:
The following is a PBE calculation of a geometry-optimized ReS2 structure, from Alexandria via LeMat-Bulk.

a = 2.9436 Å, b = 2.9436 Å, c = 7.7358 Å
α = 90.00°, β = 90.00°, γ = 120.00°
Sites, in units of the cell vectors:
Re 0.0000 0.0000 0.0000
S 0.0000 0.0000 0.3018
S 0.6667 0.3333 0.7932

Summary:
As for the space group: P3m1, No. 156. As for the uncorrected formation energy: 41 meV/atom. As for the uncorrected energy: -6.860 eV/atom. The volume comes out at 58.05 Å³/cell.

Entry 2:
The following is a PBE calculation of a geometry-optimized CrTe2IN structure, from Alexandria via LeMat-Bulk.

a = 5.5126 Å, b = 5.5126 Å, c = 3.5922 Å
α = 90.00°, β = 90.00°, γ = 90.00°
Sites, in units of the cell vectors:
Cr 0.0000 0.0000 0.0000
Te 0.0000 0.5000 0.0000
Te 0.5000 0.0000 0.0000
I 0.5000 0.5000 0.5000
N 0.0000 0.0000 0.5000

Summary:
As for the space group: P4/mmm, No. 123. As for the uncorrected formation energy: 337 meV/atom. As for the uncorrected energy: -4.819 eV/atom. For the polymorph energy (0 for the lowest one), the calculation gives 0 meV per atom. The volume comes out at 109.16 Å³/cell.